(1)
CaTmOs: relaxed, GGA-PBE.

Cell lengths 7.356, 7.356, 7.598 Å; angles 90.00, 90.00, 124.98 degrees
Sites, in units of the cell vectors:
1 Ca 0.197 0.803 0.890
2 Ca 0.303 0.697 0.390
3 Ca 0.697 0.303 0.610
4 Ca 0.803 0.197 0.110
5 Tm 0.212 0.288 0.750
6 Tm 0.288 0.212 0.250
7 Tm 0.712 0.788 0.750
8 Tm 0.788 0.712 0.250
9 Os 0.090 0.910 0.538
10 Os 0.410 0.590 0.038
11 Os 0.590 0.410 0.962
12 Os 0.910 0.090 0.462

Calculated values
E_form   0.3 eV/f.u.
Fermi-level density of states   11.0 states/eV per cell
Density   7.9 Mg/m³
Total magnetic moment   0.15 μB/atom

---

(2)
CaUOs4: relaxed, GGA-PBE.

Cell lengths 5.336, 5.336, 5.336 Å; angles 60.00, 60.00, 60.00 degrees
Sites, in units of the cell vectors:
1 Ca 0.000 0.000 0.000
2 U 0.250 0.250 0.250
3 Os 0.124 0.625 0.625
4 Os 0.625 0.124 0.625
5 Os 0.625 0.625 0.124
6 Os 0.625 0.625 0.625

Calculated values
E_form   0.1 eV/f.u.
Fermi-level density of states   7.3 states/eV per cell
Density   16.1 Mg/m³
Total magnetic moment   0.16 μB/atom

---

(3)
CaUOs: relaxed, GGA-PBE.

Cell lengths 4.021, 22.230, 3.564 Å; angles 90.00, 90.00, 90.00 degrees
Sites, in units of the cell vectors:
1 Ca 0.000 0.185 0.250
2 Ca 0.000 0.815 0.750
3 Ca 0.500 0.315 0.750
4 Ca 0.500 0.685 0.250
5 U 0.000 0.436 0.750
6 U 0.000 0.564 0.250
7 U 0.500 0.064 0.250
8 U 0.500 0.936 0.750
9 Os 0.000 0.053 0.750
10 Os 0.000 0.947 0.250
11 Os 0.500 0.447 0.250
12 Os 0.500 0.553 0.750

Calculated values
E_form   0.4 eV/f.u.
Fermi-level density of states   21.5 states/eV per cell
Density   9.8 Mg/m³
Total magnetic moment   0.35 μB/atom